<P>
Material: CaPrAl2
Method: DFT, PBE-GGA
State: optimized geometry

```
4
Lattice="-1.289 4.933 -1.360 -4.625 0.966 -2.348 -3.806 2.550 2.618" Properties=species:S:1:pos:R:3 pbc="T T T"
Pr 0.000 0.000 0.000
Ca -4.860 4.224 -0.545
Al -2.430 2.112 -0.273
Al -7.290 6.337 -0.818
```

As for the symmetry: No. 225. Its density of states at the Fermi level is 2.988 states/eV per cell.

<Q>
Material: CaPrAl2
Method: DFT, PBE-GGA
State: optimized geometry

```
4
Lattice="3.648 0.000 0.000 1.824 3.159 0.000 1.824 1.053 9.791" Properties=species:S:1:pos:R:3 pbc="T T T"
Pr 3.648 2.106 4.895
Ca 0.000 0.000 0.000
Al 1.824 1.053 2.431
Al 5.472 3.159 7.360
```

As for the symmetry: No. 166. Its density of states at the Fermi level is 3.850 states/eV per cell.

Energy comparison, zero being the most stable, in kJ/mol of atoms: <P> 0.0; <Q> 25.9.